First-principles (PBE) data for Ba2ZnF5 after structural relaxation, as listed in Alexandria.

calculated total energy = -4.82 eV/atom
total magnetic moment = 0.08 μB per atom
formation energy from raw total energies = -290.0 kJ/mol of atoms

Unit cell a=5.926 b=5.926 c=5.769 alpha=120.90 beta=120.90 gamma=90.00
Each line ends with the local moment (μB).
Fractional coordinates of all 8 atoms:
F 0.244 0.244 0.991  0.03
F 0.768 0.768 0.535  0.00
Ba 0.250 0.750 0.501  0.03
F 0.244 0.747 0.991  0.03
F 0.747 0.747 0.991  0.03
Zn 0.026 0.026 0.053  0.13
Ba 0.750 0.250 0.501  0.03
F 0.747 0.244 0.991  0.03


First-principles (PBE) data for Ba2ZnF after structural relaxation, as listed in Alexandria.

energy relative to the lowest polymorph listed for this composition = 0.036 eV per atom
calculated total energy = -3.05 eV/atom
total magnetic moment = 0.00 μB per atom
formation energy from raw total energies = -125.9 kJ/mol of atoms

Unit cell a=5.034 b=5.034 c=9.118 alpha=73.98 beta=73.98 gamma=60.00
Fractional coordinates of all 4 atoms:
Zn 0.500 0.500 0.500
F 0.000 0.000 0.000
Ba 0.095 0.095 0.715
Ba 0.905 0.905 0.285


First-principles (PBE) data for BaZnF4 after structural relaxation, as listed in Alexandria.

calculated total energy = -4.89 eV/atom
total magnetic moment = 0.00 μB per atom
formation energy from raw total energies = -299.9 kJ/mol of atoms

Unit cell a=7.747 b=7.747 c=5.967 alpha=90.00 beta=90.00 gamma=148.17
Fractional coordinates of all 12 atoms:
F 0.302 0.698 0.805
F 0.665 0.335 0.773
Ba 0.851 0.149 0.544
F 0.335 0.665 0.273
Ba 0.149 0.851 0.044
F 0.078 0.922 0.481
Zn 0.586 0.414 0.501
Zn 0.414 0.586 0.001
F 0.531 0.469 0.168
F 0.469 0.531 0.668
F 0.922 0.078 0.981
F 0.698 0.302 0.305


First-principles (PBE) data for BaZnF after structural relaxation, as listed in Alexandria.

calculated total energy = -3.63 eV/atom
total magnetic moment = 0.00 μB per atom
formation energy from raw total energies = -187.6 kJ/mol of atoms

Unit cell a=4.433 b=4.433 c=9.303 alpha=76.22 beta=76.22 gamma=60.00
Fractional coordinates of all 6 atoms:
Zn 0.164 0.164 0.507
F 0.301 0.301 0.098
Zn 0.836 0.836 0.493
Ba 0.403 0.403 0.792
F 0.699 0.699 0.902
Ba 0.597 0.597 0.208


First-principles (PBE) data for Ba12Zn3F5 after structural relaxation, as listed in Alexandria.

calculated total energy = -3.19 eV/atom
total magnetic moment = 0.11 μB per atom
formation energy from raw total energies = -133.3 kJ/mol of atoms

Unit cell a=15.799 b=15.799 c=15.799 alpha=109.47 beta=109.47 gamma=109.47
Fractional coordinates of all 80 atoms:
Ba 0.092 0.187 0.210
Ba 0.813 0.908 0.290
Ba 0.977 0.382 0.290
Zn 0.625 0.375 0.750
Ba 0.595 0.618 0.408
Ba 0.408 0.290 0.313
Ba 0.813 0.905 0.023
F 0.000 0.000 0.500
Ba 0.618 0.595 0.908
Ba 0.023 0.618 0.710
Ba 0.477 0.687 0.095
Zn 0.875 0.125 0.250
Ba 0.905 0.092 0.882
F 0.625 0.750 0.875
Ba 0.118 0.710 0.523
Ba 0.118 0.408 0.095
F 0.625 0.875 0.250
F 0.250 0.875 0.125
Zn 0.375 0.750 0.625
Ba 0.382 0.405 0.092
Ba 0.592 0.882 0.405
F 0.000 0.500 0.500
F 0.125 0.375 0.250
Zn 0.250 0.125 0.375
Ba 0.187 0.092 0.710
F 0.750 0.625 0.375
Ba 0.523 0.313 0.905
Ba 0.908 0.813 0.790
F 0.500 0.500 0.000
Ba 0.905 0.813 0.523
Zn 0.875 0.750 0.125
Ba 0.092 0.905 0.382
Ba 0.477 0.790 0.882
Ba 0.977 0.595 0.187
Ba 0.595 0.977 0.687
F 0.875 0.250 0.625
F 0.375 0.250 0.125
F 0.875 0.625 0.750
Zn 0.375 0.625 0.250
Ba 0.710 0.118 0.023
Ba 0.618 0.023 0.210
Ba 0.023 0.405 0.813
Ba 0.592 0.710 0.687
Ba 0.882 0.592 0.905
F 0.250 0.375 0.625
Ba 0.790 0.477 0.382
Zn 0.750 0.875 0.625
Zn 0.125 0.875 0.750
Ba 0.382 0.977 0.790
Zn 0.125 0.250 0.875
Ba 0.687 0.477 0.595
Ba 0.523 0.210 0.118
Ba 0.405 0.382 0.592
Ba 0.290 0.882 0.977
Zn 0.250 0.625 0.875
Ba 0.710 0.592 0.187
F 0.000 0.000 0.000
Zn 0.625 0.250 0.375
Ba 0.187 0.095 0.977
Ba 0.095 0.908 0.118
Ba 0.687 0.210 0.592
F 0.000 0.500 0.000
F 0.500 0.500 0.500
Ba 0.908 0.095 0.618
Ba 0.790 0.313 0.908
F 0.750 0.125 0.875
Ba 0.882 0.290 0.477
Ba 0.210 0.523 0.618
Ba 0.405 0.023 0.313
Ba 0.210 0.687 0.092
Ba 0.290 0.408 0.813
Ba 0.313 0.523 0.405
F 0.500 0.000 0.500
F 0.500 0.000 0.000
Ba 0.095 0.187 0.477
Ba 0.313 0.790 0.408
Zn 0.750 0.375 0.125
Ba 0.408 0.118 0.595
F 0.375 0.125 0.750
F 0.125 0.750 0.375


First-principles (PBE) data for Ba2ZnF after structural relaxation, as listed in Alexandria.

energy relative to the lowest polymorph listed for this composition = 0.348 eV per atom
calculated total energy = -2.74 eV/atom
total magnetic moment = 0.17 μB per atom
formation energy from raw total energies = -95.8 kJ/mol of atoms

Unit cell a=5.637 b=5.637 c=5.637 alpha=60.00 beta=60.00 gamma=60.00
Each line ends with the local moment (μB).
Fractional coordinates of all 4 atoms:
Zn 0.500 0.500 0.500  0.07
F 0.000 0.000 0.000  0.02
Ba 0.250 0.250 0.250  0.07
Ba 0.750 0.750 0.750  0.07


Which of these has the lowest calculated total energy?
BaZnF4